[1]
The following is a PBEsol calculation of a relaxed structure of Re2RuSe, from Alexandria via LeMat-Bulk.

The structure in CIF format:
```
data_Re2RuSe
_chemical_formula_sum 'Re2 Ru1 Se1'
_symmetry_space_group_name_H-M 'P m m m'
_symmetry_Int_Tables_number 47
_symmetry_space_group_name_Hall '-P 2 2'
_cell_length_a 2.902
_cell_length_b 4.437
_cell_length_c 4.558
_cell_angle_alpha 90.00
_cell_angle_beta 90.00
_cell_angle_gamma 90.00
loop_
_atom_site_label
_atom_site_type_symbol
_atom_site_fract_x
_atom_site_fract_y
_atom_site_fract_z
_atom_site_occupancy
Re1 Re 0.000 0.000 0.000 1
Re2 Re 0.500 0.500 0.000 1
Ru1 Ru 0.000 0.500 0.500 1
Se1 Se 0.500 0.000 0.500 1
```

Output
ΔE to the lowest computed polymorph: 324.5 meV/atom
Uncorrected formation energy: 53.2 kJ per mole of atoms
Theoretical density: 15.63 g/cm³
E_tot: -9.6208 eV per atom



[2]
The following is a PBEsol calculation of a relaxed structure of MgSbAs2, from Alexandria via LeMat-Bulk.

The structure in CIF format:
```
data_MgSbAs2
_chemical_formula_sum 'Mg2 Sb2 As4'
_symmetry_space_group_name_H-M 'I 4/m m m'
_symmetry_Int_Tables_number 139
_symmetry_space_group_name_Hall '-I 4 2'
_cell_length_a 5.246
_cell_length_b 5.246
_cell_length_c 6.090
_cell_angle_alpha 90.00
_cell_angle_beta 90.00
_cell_angle_gamma 90.00
loop_
_atom_site_label
_atom_site_type_symbol
_atom_site_fract_x
_atom_site_fract_y
_atom_site_fract_z
_atom_site_occupancy
Mg1 Mg 0.000 0.000 0.000 1
Sb1 Sb 0.000 0.000 0.500 1
As1 As 0.000 0.500 0.250 1
```

Output
ΔE to the lowest computed polymorph: 207.2 meV/atom
Uncorrected formation energy: 3.7 kJ per mole of atoms
Theoretical density: 5.86 g/cm³
E_tot: -4.0836 eV per atom



[3]
The following is a PBEsol calculation of a relaxed structure of RbY2Cr, from Alexandria via LeMat-Bulk.

The structure in CIF format:
```
data_RbY2Cr
_chemical_formula_sum 'Rb4 Y8 Cr4'
_symmetry_space_group_name_H-M 'F m -3 m'
_symmetry_Int_Tables_number 225
_symmetry_space_group_name_Hall '-F 4 2 3'
_cell_length_a 7.712
_cell_length_b 7.712
_cell_length_c 7.712
_cell_angle_alpha 90.00
_cell_angle_beta 90.00
_cell_angle_gamma 90.00
loop_
_atom_site_label
_atom_site_type_symbol
_atom_site_fract_x
_atom_site_fract_y
_atom_site_fract_z
_atom_site_occupancy
Rb1 Rb 0.000 0.000 0.000 1
Y1 Y 0.250 0.250 0.250 1
Cr1 Cr 0.000 0.000 0.500 1
```

Output
Formation enthalpy at 0 K: 0.8866 eV per atom
Theoretical density: 4.57 g/cm³
E_tot: -5.3413 eV per atom



[4]
The following is a PBEsol calculation of a relaxed structure of CrCo3, from Alexandria via LeMat-Bulk.

The structure in CIF format:
```
data_CrCo3
_chemical_formula_sum 'Cr2 Co6'
_symmetry_space_group_name_H-M 'P m m n'
_symmetry_Int_Tables_number 59
_cell_length_a 3.893
_cell_length_b 4.902
_cell_length_c 4.253
_cell_angle_alpha 90.00
_cell_angle_beta 90.00
_cell_angle_gamma 90.00
loop_
_symmetry_equiv_pos_as_xyz
'x,y,z'
'-x,-y,-z'
'-x+1/2,-y+1/2,z'
'x+1/2,y+1/2,-z'
'x+1/2,-y,-z'
'-x+1/2,y,z'
'-x,y+1/2,-z'
'x,-y+1/2,z'
loop_
_atom_site_label
_atom_site_type_symbol
_atom_site_fract_x
_atom_site_fract_y
_atom_site_fract_z
_atom_site_occupancy
Cr1 Cr 0.250 0.250 0.165 1
Co1 Co 0.250 0.001 0.669 1
Co2 Co 0.250 0.750 0.169 1
```

Output
Formation enthalpy at 0 K: -0.0289 eV per atom
ΔE to the lowest computed polymorph: 9.1 meV/atom
Theoretical density: 9.36 g/cm³
E_tot: -8.3922 eV per atom